(w)
A geometry-optimized BeCd2P structure. Source: Alexandria, functional PBE.

abc: 5.755 8.166 2.991
angles: 90.00 90.00 90.00
Positions (direct):
Be1 0.000 0.000 0.000
Be2 0.500 0.500 0.000
Cd1 0.250 0.250 0.500
Cd2 0.250 0.750 0.500
Cd3 0.750 0.250 0.500
Cd4 0.750 0.750 0.500
P1 0.000 0.500 0.000
P2 0.500 0.000 0.000

---

(x)
A geometry-optimized BeCd2P structure. Source: Alexandria, functional PBE.

abc: 3.123 3.123 25.154
angles: 90.00 90.00 120.00
Positions (direct):
Be1 0.000 0.000 0.000
Be2 0.333 0.667 0.667
Be3 0.667 0.333 0.333
Cd1 0.000 0.000 0.258
Cd2 0.000 0.000 0.742
Cd3 0.333 0.667 0.408
Cd4 0.333 0.667 0.925
Cd5 0.667 0.333 0.075
Cd6 0.667 0.333 0.592
P1 0.000 0.000 0.500
P2 0.333 0.667 0.167
P3 0.667 0.333 0.833

---

(x) (0.016 eV/atom below the next structure)

---

(w)
A geometry-optimized BeCd2P structure. Source: Alexandria, functional PBE.

abc: 4.110 3.593 5.262
angles: 90.00 109.73 90.00
Positions (direct):
Be1 0.000 0.000 0.000
Cd1 0.430 0.500 0.818
Cd2 0.756 0.000 0.483
P1 0.125 0.500 0.225

---

(x)
A geometry-optimized BeCd2P structure. Source: Alexandria, functional PBE.

abc: 6.649 6.649 6.649
angles: 90.00 90.00 90.00
Positions (direct):
Be1 0.000 0.000 0.000
Be2 0.000 0.500 0.500
Be3 0.500 0.000 0.500
Be4 0.500 0.500 0.000
Cd1 0.250 0.250 0.250
Cd2 0.250 0.250 0.750
Cd3 0.250 0.750 0.250
Cd4 0.250 0.750 0.750
Cd5 0.750 0.250 0.250
Cd6 0.750 0.250 0.750
Cd7 0.750 0.750 0.250
Cd8 0.750 0.750 0.750
P1 0.000 0.000 0.500
P2 0.000 0.500 0.000
P3 0.500 0.000 0.000
P4 0.500 0.500 0.500

---

(w) (0.483 eV/atom below the next structure)

---

(w)
A geometry-optimized BeCd2P structure. Source: Alexandria, functional PBE.

abc: 4.099 4.099 8.489
angles: 90.00 90.00 90.00
Positions (direct):
Be1 0.000 0.000 0.000
Be2 0.500 0.500 0.500
Cd1 0.000 0.500 0.250
Cd2 0.000 0.500 0.750
Cd3 0.500 0.000 0.250
Cd4 0.500 0.000 0.750
P1 0.000 0.000 0.500
P2 0.500 0.500 0.000

---

(x)
A geometry-optimized BeCd2P structure. Source: Alexandria, functional PBE.

abc: 5.560 6.635 3.976
angles: 90.00 98.66 90.00
Positions (direct):
Be1 0.000 0.000 0.000
Be2 0.500 0.500 0.000
Cd1 0.250 0.250 0.500
Cd2 0.250 0.750 0.500
Cd3 0.750 0.250 0.500
Cd4 0.750 0.750 0.500
P1 0.000 0.500 0.000
P2 0.500 0.000 0.000

---

(y)
A geometry-optimized BeCd2P structure. Source: Alexandria, functional PBE.

abc: 4.226 4.226 3.998
angles: 90.00 90.00 90.00
Positions (direct):
Be1 0.000 0.000 0.000
Cd1 0.000 0.500 0.500
Cd2 0.500 0.000 0.500
P1 0.500 0.500 0.000

---

(x) (0.018 eV/atom below the next structure)